1.
NbIn3H GGA-PBE relaxed; raw total energy = -3.298 eV per atom; energy above the most stable polymorph in this dataset = 62.8 kJ per mole of atoms; total magnetization = 1.8 μB/cell
1.0
5.4864 0.0000 0.0000
0.0000 5.4864 0.0000
0.0000 0.0000 5.4864
H Nb In
1 1 3
Cartesian
2.7432 2.7432 2.7432
0.0000 0.0000 0.0000
0.0000 2.7432 0.0000
0.0000 0.0000 2.7432
2.7432 0.0000 0.0000


2.
NbInH GGA-PBE relaxed; raw total energy = -5.487 eV per atom; energy above the most stable polymorph in this dataset = 0.0 kJ per mole of atoms; total magnetization = 0.0 μB/cell
1.0
3.2808 0.0000 0.0000
-1.6404 2.8412 0.0000
0.0000 0.0000 4.6865
H Nb In
1 1 1
Cartesian
0.0000 1.8942 2.3868
1.6404 0.9471 2.3177
0.0000 0.0000 4.6685


3.
Nb2In2H GGA-PBE relaxed; raw total energy = -5.595 eV per atom; energy above the most stable polymorph in this dataset = 0.0 kJ per mole of atoms; total magnetization = 0.0 μB/cell
1.0
5.9458 0.0000 0.0000
0.0000 5.9458 0.0000
0.0000 0.0000 4.9703
H Nb In
2 4 4
Cartesian
0.0000 0.0000 0.0000
2.9729 2.9729 0.0000
2.0343 5.0071 0.0000
5.0071 3.9115 0.0000
3.9115 0.9386 0.0000
0.9386 2.0343 0.0000
1.0064 3.9792 2.4852
3.9792 4.9394 2.4852
4.9394 1.9665 2.4852
1.9665 1.0064 2.4852


4.
Nb2InHOs GGA-PBE relaxed; raw total energy = -7.469 eV per atom; total magnetization = 0.0 μB/cell
1.0
4.2183 0.0000 0.0000
0.0000 4.2183 0.0000
0.0000 0.0000 4.0757
H Nb Os In
1 2 1 1
Cartesian
0.0000 0.0000 0.0000
0.0000 2.1092 0.0000
2.1092 0.0000 0.0000
0.0000 0.0000 2.0379
2.1092 2.1092 2.0379


5.
NbInH2Pt GGA-PBE relaxed; raw total energy = -4.600 eV per atom; total magnetization = 1.1 μB/cell
1.0
3.8019 0.0000 0.0000
0.0000 3.8019 0.0000
0.0000 0.0000 5.8906
H Nb Pt In
2 1 1 1
Cartesian
0.0000 1.9009 0.0000
1.9009 0.0000 0.0000
1.9009 1.9009 2.9453
0.0000 0.0000 2.9453
0.0000 0.0000 0.0000


6.
Nb2InReH GGA-PBE relaxed; raw total energy = -7.682 eV per atom; total magnetization = 0.0 μB/cell
1.0
4.2404 0.0000 0.0000
0.0000 4.2404 0.0000
0.0000 0.0000 4.0715
Re Nb H In
1 2 1 1
Cartesian
0.0000 0.0000 2.0358
0.0000 2.1202 0.0000
2.1202 0.0000 0.0000
0.0000 0.0000 0.0000
2.1202 2.1202 2.0358


7.
NbInHRh2 GGA-PBE relaxed; raw total energy = -6.344 eV per atom; total magnetization = 0.0 μB/cell
1.0
4.1136 0.0000 0.0000
0.0000 4.1136 0.0000
0.0000 0.0000 4.0679
H Nb Rh In
1 1 2 1
Cartesian
0.0000 0.0000 0.0000
0.0000 0.0000 2.0340
0.0000 2.0568 0.0000
2.0568 0.0000 0.0000
2.0568 2.0568 2.0340


8.
Nb2InHRu GGA-PBE relaxed; raw total energy = -7.175 eV per atom; total magnetization = 0.0 μB/cell
1.0
4.1852 0.0000 0.0000
0.0000 4.1852 0.0000
0.0000 0.0000 4.1303
Ru Nb H In
1 2 1 1
Cartesian
0.0000 0.0000 2.0651
0.0000 2.0926 0.0000
2.0926 0.0000 0.0000
0.0000 0.0000 0.0000
2.0926 2.0926 2.0651


9.
Sc2NbInH GGA-PBE relaxed; raw total energy = -6.063 eV per atom; total magnetization = 0.0 μB/cell
1.0
4.4732 0.0000 0.0000
0.0000 4.4732 0.0000
0.0000 0.0000 4.2270
Sc H Nb In
2 1 1 1
Cartesian
0.0000 2.2366 0.0000
2.2366 0.0000 0.0000
0.0000 0.0000 0.0000
0.0000 0.0000 2.1135
2.2366 2.2366 2.1135


10.
NbInSn2H GGA-PBE relaxed; raw total energy = -4.511 eV per atom; total magnetization = 0.0 μB/cell
1.0
-3.6485 4.2183 0.2064
-1.6614 -1.5782 2.8876
3.3927 2.7649 3.4631
H Nb Sn In
1 1 2 1
Cartesian
-0.8307 -0.7891 1.4438
0.0000 0.0000 0.0000
1.6963 1.3825 1.7316
-1.8242 2.1092 0.1032
-0.9586 2.7025 3.2786


11.
TaNb2InH GGA-PBE relaxed; raw total energy = -7.667 eV per atom; total magnetization = 0.0 μB/cell
1.0
-2.5471 -3.4568 0.4837
2.4617 -1.3545 3.2828
-2.3628 2.1108 2.6427
H Nb In Ta
1 2 1 1
Cartesian
0.0000 0.0000 0.0000
1.2308 -0.6772 1.6414
-1.2735 -1.7284 0.2419
-1.2241 -1.3502 3.2046
-1.1814 1.0554 1.3213


12.
TiNb2InH GGA-PBE relaxed; raw total energy = -7.003 eV per atom; total magnetization = 0.0 μB/cell
1.0
4.0956 0.0000 0.0000
0.0000 4.0956 0.0000
0.0000 0.0000 4.5216
H Nb Ti In
1 2 1 1
Cartesian
0.0000 0.0000 0.0000
0.0000 2.0478 0.0000
2.0478 0.0000 0.0000
0.0000 0.0000 2.2608
2.0478 2.0478 2.2608


> total magnetization of number 5 (NbInH2Pt)?

1.1 μB/cell


> What is the total magnetization in the ninth record?

0.0 μB/cell